{"formula": "Hf2MgTc2", "functional": "PBE", "state": "relaxed", "magmom_total_mub_per_fu": 0.00, "de_polymorph_mev_per_atom": 0, "total_energy_ev_per_cell": -85.4, "space_group": "No. 127", "cell": [[7.4174, 0.0000, 0.0000], [0.0000, 7.4174, 0.0000], [0.0000, 0.0000, 3.4030]], "species": ["Hf", "Hf", "Hf", "Hf", "Mg", "Mg", "Tc", "Tc", "Tc", "Tc"], "fractional_positions": [[0.1530, 0.3470, 0.0000], [0.3470, 0.8470, 0.0000], [0.6530, 0.1530, 0.0000], [0.8470, 0.6530, 0.0000], [0.0000, 0.0000, 0.5000], [0.5000, 0.5000, 0.5000], [0.1444, 0.6444, 0.5000], [0.3556, 0.1444, 0.5000], [0.6444, 0.8556, 0.5000], [0.8556, 0.3556, 0.5000]]}

=====

{"formula": "HfMgTc3", "functional": "PBE", "state": "relaxed", "magmom_total_mub_per_fu": 3.01, "de_polymorph_mev_per_atom": 85, "total_energy_ev_per_cell": -34.8, "space_group": "No. 221", "cell": [[4.7907, 0.0000, 0.0000], [0.0000, 4.7907, 0.0000], [0.0000, 0.0000, 4.7907]], "species": ["Hf", "Mg", "Tc", "Tc", "Tc"], "fractional_positions": [[0.0000, 0.0000, 0.0000], [0.5000, 0.5000, 0.5000], [0.0000, 0.0000, 0.5000], [0.0000, 0.5000, 0.0000], [0.5000, 0.0000, 0.0000]]}